(1)
Computed, not measured: a relaxed MgZr crystal at the PBE level of DFT.

Structure (POSCAR):
```
MgZr
1.0
-1.822 -2.481 -0.675
2.443 -1.412 -1.402
1.133 -1.885 3.873
Mg Zr
1 1
direct
0.000 0.000 0.000
0.500 0.500 0.500
```

(2)
Computed, not measured: a relaxed MgZr3 crystal at the PBE level of DFT.

Structure (POSCAR):
```
MgZr3
1.0
-0.928 -5.634 -2.604
4.469 0.464 -2.597
2.708 -2.402 4.232
Mg Zr
2 6
direct
0.000 0.000 0.664
0.500 0.500 0.336
0.000 0.500 0.341
0.252 0.000 0.163
0.248 0.500 0.837
0.500 0.000 0.659
0.748 0.000 0.163
0.752 0.500 0.837
```

(3)
Computed, not measured: a relaxed Mn crystal at the PBE level of DFT.

Structure (POSCAR):
```
Mn
1.0
6.026 0.000 0.000
0.000 6.026 0.000
0.000 0.000 6.026
Mn
20
direct
0.054 0.054 0.054
0.946 0.554 0.446
0.446 0.946 0.554
0.554 0.446 0.946
0.696 0.696 0.696
0.304 0.196 0.804
0.804 0.304 0.196
0.196 0.804 0.304
0.125 0.197 0.447
0.447 0.125 0.197
0.197 0.447 0.125
0.375 0.803 0.947
0.947 0.375 0.803
0.803 0.947 0.375
0.625 0.303 0.553
0.553 0.625 0.303
0.303 0.553 0.625
0.875 0.697 0.053
0.053 0.875 0.697
0.697 0.053 0.875
```

The energy relative to the lowest polymorph listed for this composition comes out at 0.063 eV per formula unit.

(4)
Computed, not measured: a relaxed Mn crystal at the PBE level of DFT.

Structure (POSCAR):
```
Mn
1.0
2.493 0.007 -0.001
1.252 2.156 -0.001
1.247 0.720 6.004
Mn
3
direct
0.000 0.000 0.000
0.780 0.780 0.666
0.220 0.220 0.334
```

The energy relative to the lowest polymorph listed for this composition comes out at 0.069 eV per formula unit.

(5)
Computed, not measured: a relaxed Mn crystal at the PBE level of DFT.

Structure (POSCAR):
```
Mn
1.0
7.156 0.000 0.000
0.000 7.156 0.000
0.000 0.000 3.589
Mn
16
direct
0.171 0.500 0.000
0.829 0.500 0.000
0.500 0.829 0.000
0.500 0.171 0.000
0.671 0.000 0.500
0.329 0.000 0.500
0.000 0.329 0.500
0.000 0.671 0.500
0.840 0.840 0.000
0.840 0.160 0.000
0.160 0.840 0.000
0.160 0.160 0.000
0.340 0.340 0.500
0.340 0.660 0.500
0.660 0.340 0.500
0.660 0.660 0.500
```

The energy relative to the lowest polymorph listed for this composition comes out at 0.382 eV per formula unit.

(6)
Computed, not measured: a relaxed Mn crystal at the PBE level of DFT.

Structure (POSCAR):
```
Mn
1.0
-0.785 1.483 1.549
-2.110 -0.831 -0.274
0.385 -1.525 1.656
Mn
1
direct
0.000 0.000 0.000
```

The energy relative to the lowest polymorph listed for this composition comes out at 0.949 eV per formula unit.

(7)
Computed, not measured: a relaxed Mn crystal at the PBE level of DFT.

Structure (POSCAR):
```
Mn
1.0
7.494 0.000 0.000
-2.498 7.065 0.000
-2.498 -3.532 6.118
Mn
29
direct
0.000 0.000 0.000
0.631 0.631 0.631
0.000 0.000 0.369
0.369 0.000 0.000
0.000 0.369 0.000
0.390 0.712 0.390
0.323 0.000 0.610
0.610 0.000 0.323
0.323 0.610 0.000
0.677 0.677 0.288
0.288 0.677 0.677
0.000 0.610 0.323
0.000 0.323 0.610
0.610 0.323 0.000
0.390 0.390 0.712
0.712 0.390 0.390
0.677 0.288 0.677
0.373 0.178 0.373
0.805 0.000 0.627
0.627 0.000 0.805
0.805 0.627 0.000
0.195 0.195 0.822
0.822 0.195 0.195
0.000 0.627 0.805
0.000 0.805 0.627
0.627 0.805 0.000
0.373 0.373 0.178
0.178 0.373 0.373
0.195 0.822 0.195
```

The energy relative to the lowest polymorph listed for this composition comes out at 0.000 eV per formula unit.

(8)
Computed, not measured: a relaxed Mn crystal at the PBE level of DFT.

Structure (POSCAR):
```
Mn
1.0
4.687 0.000 0.000
0.000 4.687 0.000
0.000 0.000 2.152
Mn
4
direct
0.683 0.183 0.000
0.183 0.317 0.000
0.817 0.683 0.000
0.317 0.817 0.000
```

The energy relative to the lowest polymorph listed for this composition comes out at 0.807 eV per formula unit.

(9)
Computed, not measured: a relaxed Mn crystal at the PBE level of DFT.

Structure (POSCAR):
```
Mn
1.0
2.475 -0.005 0.000
-1.238 4.624 0.000
0.000 0.000 7.646
Mn
8
direct
0.481 0.963 0.750
0.519 0.037 0.250
0.123 0.253 0.984
0.877 0.747 0.017
0.877 0.747 0.483
0.123 0.253 0.516
0.744 0.496 0.750
0.256 0.504 0.250
```

The energy relative to the lowest polymorph listed for this composition comes out at 0.086 eV per formula unit.

(10)
Computed, not measured: a relaxed Mn crystal at the PBE level of DFT.

Structure (POSCAR):
```
Mn
1.0
2.480 0.000 0.000
1.240 2.148 0.000
1.240 0.716 2.025
Mn
1
direct
0.000 0.000 0.000
```

The energy relative to the lowest polymorph listed for this composition comes out at 0.089 eV per formula unit.

(11)
Computed, not measured: a relaxed Mn crystal at the PBE level of DFT.

Structure (POSCAR):
```
Mn
1.0
9.177 0.000 0.000
0.000 9.177 0.000
0.000 0.000 9.177
Mn
46
direct
0.250 0.500 0.000
0.750 0.500 0.000
0.500 0.000 0.250
0.500 0.000 0.750
0.000 0.250 0.500
0.000 0.750 0.500
0.182 0.182 0.182
0.182 0.818 0.818
0.818 0.182 0.818
0.818 0.818 0.182
0.318 0.318 0.318
0.318 0.682 0.682
0.682 0.318 0.682
0.682 0.682 0.318
0.818 0.818 0.818
0.818 0.182 0.182
0.182 0.818 0.182
0.182 0.182 0.818
0.682 0.682 0.682
0.682 0.318 0.318
0.318 0.682 0.318
0.318 0.318 0.682
0.000 0.886 0.683
0.000 0.114 0.317
0.000 0.886 0.317
0.000 0.114 0.683
0.886 0.683 0.000
0.886 0.317 0.000
0.114 0.683 0.000
0.114 0.317 0.000
0.683 0.000 0.886
0.683 0.000 0.114
0.317 0.000 0.114
0.317 0.000 0.886
0.614 0.500 0.817
0.614 0.500 0.183
0.386 0.500 0.183
0.386 0.500 0.817
0.500 0.817 0.614
0.500 0.183 0.386
0.500 0.817 0.386
0.500 0.183 0.614
0.817 0.614 0.500
0.817 0.386 0.500
0.183 0.614 0.500
0.183 0.386 0.500
```

The energy relative to the lowest polymorph listed for this composition comes out at 1.475 eV per formula unit.

(12)
Computed, not measured: a relaxed Mn crystal at the PBE level of DFT.

Structure (POSCAR):
```
Mn
1.0
4.550 0.000 0.000
-2.275 3.941 0.000
0.000 0.000 7.391
Mn
12
direct
0.667 0.333 0.930
0.333 0.667 0.430
0.333 0.667 0.070
0.667 0.333 0.570
0.000 0.000 0.000
0.000 0.000 0.500
0.175 0.825 0.750
0.825 0.650 0.250
0.350 0.175 0.250
0.650 0.825 0.750
0.175 0.350 0.750
0.825 0.175 0.250
```

The energy relative to the lowest polymorph listed for this composition comes out at 0.123 eV per formula unit.

(13)
Computed, not measured: a relaxed Mn crystal at the PBE level of DFT.

Structure (POSCAR):
```
Mn
1.0
-3.027 3.238 0.061
-3.209 -2.987 -0.662
-0.442 -0.496 4.383
Mn
8
direct
0.000 0.000 0.000
0.500 0.500 0.500
0.250 0.000 0.500
0.750 0.000 0.500
0.000 0.500 0.250
0.000 0.500 0.750
0.500 0.750 0.000
0.500 0.250 0.000
```

The energy relative to the lowest polymorph listed for this composition comes out at 0.071 eV per formula unit.

(14)
Computed, not measured: a relaxed Mn crystal at the PBE level of DFT.

Structure (POSCAR):
```
Mn
1.0
3.676 0.000 0.000
-1.838 3.184 0.000
0.000 0.000 2.388
Mn
2
direct
0.333 0.667 0.500
0.667 0.333 0.500
```

The energy relative to the lowest polymorph listed for this composition comes out at 1.082 eV per formula unit.

(15)
Computed, not measured: a relaxed Mn crystal at the PBE level of DFT.

Structure (POSCAR):
```
Mn
1.0
10.378 0.000 0.000
0.000 4.145 0.000
0.000 0.000 4.275
Mn
16
direct
0.620 0.250 0.793
0.620 0.750 0.207
0.380 0.750 0.207
0.380 0.250 0.793
0.120 0.750 0.293
0.120 0.250 0.707
0.880 0.250 0.707
0.880 0.750 0.293
0.250 0.250 0.250
0.250 0.750 0.750
0.750 0.750 0.750
0.750 0.250 0.250
0.000 0.250 0.194
0.000 0.750 0.806
0.500 0.750 0.694
0.500 0.250 0.306
```

The energy relative to the lowest polymorph listed for this composition comes out at 0.143 eV per formula unit.

(16)
Computed, not measured: a relaxed Mn crystal at the PBE level of DFT.

Structure (POSCAR):
```
Mn
1.0
-1.668 -1.213 -3.402
3.815 -0.837 0.754
-1.145 -3.567 1.833
Mn
4
direct
0.000 0.000 0.250
0.000 0.000 0.750
0.333 0.667 0.250
0.667 0.333 0.750
```

The energy relative to the lowest polymorph listed for this composition comes out at 0.825 eV per formula unit.

(17)
Computed, not measured: a relaxed Mn crystal at the PBE level of DFT.

Structure (POSCAR):
```
Mn
1.0
2.482 0.000 0.000
-1.241 2.149 0.000
0.000 0.000 2.138
Mn
1
direct
0.000 0.000 0.000
```

The energy relative to the lowest polymorph listed for this composition comes out at 0.638 eV per formula unit.

(18)
Computed, not measured: a relaxed Mn crystal at the PBE level of DFT.

Structure (POSCAR):
```
Mn
1.0
3.509 0.000 0.000
1.754 3.039 0.000
1.754 1.013 2.865
Mn
2
direct
0.000 0.000 0.000
0.750 0.750 0.750
```

The energy relative to the lowest polymorph listed for this composition comes out at 1.427 eV per formula unit.

(19)
Computed, not measured: a relaxed Mn crystal at the PBE level of DFT.

Structure (POSCAR):
```
Mn
1.0
-4.378 0.414 1.461
3.430 -2.157 2.249
0.616 2.241 1.210
Mn
4
direct
0.880 0.120 0.023
0.120 0.880 0.977
0.380 0.620 0.477
0.620 0.380 0.523
```

The energy relative to the lowest polymorph listed for this composition comes out at 0.416 eV per formula unit.

(20)
Computed, not measured: a relaxed Mn crystal at the PBE level of DFT.

Structure (POSCAR):
```
Mn
1.0
-1.515 -1.785 -0.641
-0.001 0.234 2.416
-0.727 2.082 -1.015
Mn
1
direct
0.000 0.000 0.000
```

The energy relative to the lowest polymorph listed for this composition comes out at 0.162 eV per formula unit.

| no. | total energy (eV per atom) | DFT formation energy (eV/atom) |
| --- | --- | --- |
| 1 | -5.00 | 0.07 |
| 2 | -6.78 | 0.03 |
| 3 | -9.11 | 0.06 |
| 4 | -9.10 | 0.07 |
| 5 | -8.79 | 0.38 |
| 6 | -8.22 | 0.95 |
| 7 | -9.17 | 0.00 |
| 8 | -8.36 | 0.81 |
| 9 | -9.08 | 0.09 |
| 10 | -9.08 | 0.09 |
| 11 | -7.69 | 1.48 |
| 12 | -9.05 | 0.12 |
| 13 | -9.10 | 0.07 |
| 14 | -8.09 | 1.08 |
| 15 | -9.03 | 0.14 |
| 16 | -8.34 | 0.82 |
| 17 | -8.53 | 0.64 |
| 18 | -7.74 | 1.43 |
| 19 | -8.75 | 0.42 |
| 20 | -9.01 | 0.16 |